(1)
The following is a DFT calculation (PBE) of a geometry-optimized MgBe2Rh structure.

Cell lengths 2.9070, 2.9070, 5.9504 Å; angles 90.00, 90.00, 90.00 degrees
Last column: nearest neighbours and their distance in Å.
Fractional coordinates of all 4 atoms:
1 Mg 0.0000 0.0000 0.0000  4 Rh 2.75, 6 Be 2.77-3.03, 4 Mg 2.91
2 Be 0.0000 0.0000 0.4912  4 Rh 2.33, 4 Be 2.36
3 Be 0.5000 0.5000 0.6869  1 Rh 2.26, 4 Be 2.36
4 Rh 0.5000 0.5000 0.3078  5 Be 2.26-2.33

energy of formation from the pure elements: -0.210 eV/atom


(2)
The following is a DFT calculation (PBE) of a geometry-optimized MgBe2Rh structure.

Cell lengths 3.6075, 4.9122, 4.9122 Å; angles 33.96, 90.00, 90.00 degrees
Last column: nearest neighbours and their distance in Å.
Fractional coordinates of all 4 atoms:
1 Mg 0.0000 0.0000 0.0000  7 Be 2.42-2.69
2 Be 0.0000 0.2575 0.2575  2 Be 2.13
3 Be 0.5000 0.3783 0.3783  2 Be 2.13, 2 Rh 2.36
4 Rh 0.5000 0.6789 0.6789  6 Be 2.36-2.42

energy of formation from the pure elements: -0.232 eV/atom


(3)
The following is a DFT calculation (PBE) of a geometry-optimized MgBe2Rh2 structure.

Cell lengths 6.6133, 6.6133, 2.8666 Å; angles 90.00, 90.00, 90.00 degrees
Last column: nearest neighbours and their distance in Å.
Fractional coordinates of all 10 atoms:
1 Mg 0.0000 0.0000 0.0000  4 Rh 2.52
2 Mg 0.5000 0.5000 0.0000  4 Rh 2.52
3 Be 0.1403 0.3597 0.5000  6 Rh 2.39-2.43, 1 Be 2.62
4 Be 0.3597 0.8597 0.5000  6 Rh 2.39-2.43, 1 Be 2.62
5 Be 0.6403 0.1403 0.5000  6 Rh 2.39-2.43, 1 Be 2.62
6 Be 0.8597 0.6403 0.5000  6 Rh 2.39-2.43, 1 Be 2.62
7 Rh 0.1494 0.6494 0.0000  6 Be 2.39-2.43, 2 Mg 2.52
8 Rh 0.3506 0.1494 0.0000  6 Be 2.39-2.43, 2 Mg 2.52
9 Rh 0.6494 0.8506 0.0000  6 Be 2.39-2.43, 2 Mg 2.52
10 Rh 0.8506 0.3506 0.0000  6 Be 2.39-2.43, 2 Mg 2.52

energy of formation from the pure elements: -0.428 eV/atom
excess energy over the best structure of this formula in the dataset: 0.1927 eV/atom